Al12PbO19: optimized geometry, PBEsol.

a b c (Å): 5.590 5.590 22.020
angles (deg): 90.00 90.00 120.00
Fractional coordinates of all 64 atoms:
O: 0.154 0.308 0.052
O: 0.690 0.845 0.448
O: 0.002 0.501 0.647
O: 0.818 0.182 0.749
O: 0.846 0.154 0.552
O: 0.501 0.499 0.352
O: 0.003 0.501 0.852
O: 0.499 0.501 0.647
O: 0.155 0.310 0.448
O: 0.997 0.499 0.352
O: 0.333 0.667 0.554
O: 0.000 0.000 0.852
O: 0.998 0.499 0.147
O: 0.501 0.002 0.147
O: 0.636 0.818 0.249
O: 0.000 0.000 0.650
O: 0.501 0.499 0.147
O: 0.501 0.003 0.352
O: 0.308 0.154 0.552
O: 0.000 0.000 0.150
O: 0.182 0.818 0.249
O: 0.364 0.182 0.749
O: 0.155 0.845 0.448
O: 0.818 0.636 0.749
O: 0.310 0.155 0.948
O: 0.692 0.846 0.052
O: 0.000 0.000 0.352
O: 0.333 0.667 0.946
O: 0.845 0.690 0.948
O: 0.182 0.364 0.249
O: 0.667 0.333 0.446
O: 0.845 0.155 0.948
O: 0.499 0.997 0.852
O: 0.846 0.692 0.552
O: 0.499 0.501 0.852
O: 0.499 0.998 0.647
O: 0.667 0.333 0.054
O: 0.154 0.846 0.052
Al: 0.833 0.665 0.391
Al: 0.831 0.169 0.108
Al: 0.169 0.831 0.608
Al: 0.167 0.833 0.891
Al: 0.833 0.167 0.391
Al: 0.338 0.169 0.108
Al: 0.667 0.333 0.809
Al: 0.335 0.167 0.391
Al: 0.333 0.667 0.190
Al: 0.667 0.333 0.690
Al: 0.000 0.000 0.500
Al: 0.333 0.667 0.029
Al: 0.662 0.831 0.608
Al: 0.167 0.335 0.891
Al: 0.667 0.333 0.971
Al: 0.169 0.338 0.608
Al: 0.000 0.000 0.741
Al: 0.333 0.667 0.309
Al: 0.831 0.662 0.108
Al: 0.000 0.000 0.000
Al: 0.000 0.000 0.241
Al: 0.665 0.833 0.891
Al: 0.667 0.333 0.529
Al: 0.333 0.667 0.471
Pb: 0.333 0.667 0.753
Pb: 0.667 0.333 0.253

Crystal system = hexagonal
Energy relative to the elements, uncorrected = -2947 meV/atom
Uncorrected energy = -494.3 eV/cell
Fermi-level density of states = 0.000 states/eV per atom



ReNiBr2: optimized geometry, PBEsol.

a b c (Å): 3.030 3.030 7.692
angles (deg): 90.00 90.00 90.00
Fractional coordinates of all 4 atoms:
Br: 0.500 0.500 0.329
Br: 0.000 0.000 0.929
Re: 0.500 0.500 0.717
Ni: 0.000 0.000 0.525

Crystal system = tetragonal
Energy relative to the elements, uncorrected = 514 meV/atom
Uncorrected energy = -21.2 eV/cell
Fermi-level density of states = 0.962 states/eV per atom
Distance to the lowest polymorph of the same formula = 0 meV per atom



Calculated volume for every record listed, in sequence, given in Å³ per atom: 9.3; 17.7.